(1)
Here is crystalline CuAsSeN2 at its relaxed geometry from Alexandria. Energies are from PBE.

For the total energy, the calculation gives -4.546 eV per atom. Its mass density is 5.1 g/cm³. The value obtained for the size of the total moment is 0.00 Bohr magnetons per cell.

Cell: 3.6026 3.6026 6.1682 Å, 90.00 90.00 90.00°
Positions (direct):
1 As 0.0000 0.0000 0.0000
2 Cu 0.5000 0.5000 0.5000
3 Se 0.0000 0.0000 0.5000
4 N 0.0000 0.5000 0.0000
5 N 0.5000 0.0000 0.0000

---

(2)
Here is crystalline CuAs2SeN at its relaxed geometry from Alexandria. Energies are from PBE.

For the total energy, the calculation gives -4.118 eV per atom. Its mass density is 6.2 g/cm³. The value obtained for the size of the total moment is 0.00 Bohr magnetons per cell.

Cell: 4.2999 4.2999 4.4659 Å, 90.00 90.00 90.00°
Positions (direct):
1 As 0.0000 0.5000 0.0000
2 As 0.5000 0.0000 0.0000
3 Cu 0.5000 0.5000 0.5000
4 Se 0.0000 0.0000 0.5000
5 N 0.0000 0.0000 0.0000

---

(3)
Here is crystalline CuAsSe2N at its relaxed geometry from Alexandria. Energies are from PBE.

For the total energy, the calculation gives -3.921 eV per atom. Its mass density is 5.8 g/cm³. The value obtained for the size of the total moment is 1.69 Bohr magnetons per cell.

Cell: 4.9690 4.9690 3.6082 Å, 90.00 90.00 90.00°
Site moments in Bohr magnetons follow the coordinates.
Positions (direct):
1 As 0.5000 0.5000 0.5000  0.04
2 Cu 0.0000 0.0000 0.0000  0.18
3 Se 0.0000 0.5000 0.0000  0.08
4 Se 0.5000 0.0000 0.0000  0.08
5 N 0.0000 0.0000 0.5000  0.87

---

(4)
Here is crystalline CuAs2SeN at its relaxed geometry from Alexandria. Energies are from PBE.

For the total energy, the calculation gives -3.358 eV per atom. Its mass density is 5.1 g/cm³. The value obtained for the size of the total moment is 0.00 Bohr magnetons per cell.

Cell: 4.6351 4.6351 4.6489 Å, 90.00 90.00 90.00°
Positions (direct):
1 As 0.0000 0.5000 0.0000
2 As 0.5000 0.0000 0.0000
3 Cu 0.0000 0.0000 0.0000
4 Se 0.0000 0.0000 0.5000
5 N 0.5000 0.5000 0.5000

---

(5)
Here is crystalline CuAsSe2N at its relaxed geometry from Alexandria. Energies are from PBE.

For the total energy, the calculation gives -3.295 eV per atom. Its mass density is 4.7 g/cm³. The value obtained for the size of the total moment is 2.74 Bohr magnetons per cell.

Cell: 4.8401 4.8401 4.6688 Å, 90.00 90.00 90.00°
Site moments in Bohr magnetons follow the coordinates.
Positions (direct):
1 As 0.0000 0.0000 0.5000  -0.04
2 Cu 0.0000 0.0000 0.0000  0.02
3 Se 0.0000 0.5000 0.0000  0.07
4 Se 0.5000 0.0000 0.0000  0.07
5 N 0.5000 0.5000 0.5000  1.74

---

(6)
Here is crystalline CuAsSe2N at its relaxed geometry from Alexandria. Energies are from PBE.

For the total energy, the calculation gives -3.809 eV per atom. Its mass density is 6.1 g/cm³. The value obtained for the size of the total moment is 0.00 Bohr magnetons per cell.

Cell: 4.4775 4.4775 4.2194 Å, 90.00 90.00 90.00°
Positions (direct):
1 As 0.0000 0.0000 0.5000
2 Cu 0.5000 0.5000 0.5000
3 Se 0.0000 0.5000 0.0000
4 Se 0.5000 0.0000 0.0000
5 N 0.0000 0.0000 0.0000

---

Respective energy relative to the lowest polymorph listed for this composition values: 0.0, 0.0, 0.0, 760.8, 625.5, 111.4 meV per atom.